DFT (GGA+U) results for a geometry-optimized ZrVN2O structure.

a b c (Å): 4.2352 4.2352 4.0561
angles (deg): 90.00 90.00 90.00
Each line ends with the local moment (μB).
Atoms (fractional coordinates):
N1 0.0000 0.5000 0.0000  -0.53
N2 0.5000 0.0000 0.0000  -0.53
O1 0.0000 0.0000 0.5000  -0.18
Zr1 0.0000 0.0000 0.0000  0.01
V1 0.5000 0.5000 0.5000  0.69

Output
Calculated volume = 72.8 Å³ per cell
Electronic total energy = -7.429 eV/atom